(1)
# CsSn2Pd, optimized geometry, DFT PBE
data_CsSn2Pd
_chemical_formula_sum 'Cs1 Sn2 Pd1'
_cell_length_a 3.532
_cell_length_b 3.532
_cell_length_c 9.019
_cell_angle_alpha 90.00
_cell_angle_beta 90.00
_cell_angle_gamma 90.00
_symmetry_space_group_name_H-M 'P 4/m m m'
_symmetry_Int_Tables_number 123
_symmetry_space_group_name_Hall '-P 4 2'
loop_
_atom_site_label
_atom_site_type_symbol
_atom_site_fract_x
_atom_site_fract_y
_atom_site_fract_z
Cs1 Cs 0.000 0.000 0.000
Sn1 Sn 0.500 0.500 0.331
Pd1 Pd 0.000 0.000 0.500
# - volume (Å³ per cell) = 112.5
# - crystal system = tetragonal
# - formation enthalpy at 0 K (meV per atom) = -278.1


(2)
# CaAl6Cu6, optimized geometry, DFT PBE
data_CaAl6Cu6
_chemical_formula_sum 'Ca2 Al12 Cu12'
_cell_length_a 5.093
_cell_length_b 8.622
_cell_length_c 8.757
_cell_angle_alpha 90.00
_cell_angle_beta 90.00
_cell_angle_gamma 90.00
_symmetry_space_group_name_H-M 'I m m m'
_symmetry_Int_Tables_number 71
_symmetry_space_group_name_Hall '-I 2 2'
loop_
_atom_site_label
_atom_site_type_symbol
_atom_site_fract_x
_atom_site_fract_y
_atom_site_fract_z
Ca1 Ca 0.000 0.000 0.000
Al1 Al 0.000 0.000 0.350
Al2 Al 0.000 0.347 0.000
Al3 Al 0.000 0.500 0.297
Cu1 Cu 0.000 0.268 0.500
Cu2 Cu 0.250 0.250 0.250
# - volume (Å³ per cell) = 384.5
# - crystal system = orthorhombic
# - formation enthalpy at 0 K (meV per atom) = -296.5


(3)
# EuLuZnAg, optimized geometry, DFT PBE
data_EuLuZnAg
_chemical_formula_sum 'Eu4 Lu4 Zn4 Ag4'
_cell_length_a 7.293
_cell_length_b 7.293
_cell_length_c 7.293
_cell_angle_alpha 90.00
_cell_angle_beta 90.00
_cell_angle_gamma 90.00
_symmetry_space_group_name_H-M 'F -4 3 m'
_symmetry_Int_Tables_number 216
_symmetry_space_group_name_Hall 'F -4 2 3'
loop_
_atom_site_label
_atom_site_type_symbol
_atom_site_fract_x
_atom_site_fract_y
_atom_site_fract_z
Eu1 Eu 0.000 0.000 0.000
Lu1 Lu 0.000 0.000 0.500
Zn1 Zn 0.250 0.250 0.250
Ag1 Ag 0.250 0.250 0.750
# - volume (Å³ per cell) = 387.9
# - crystal system = cubic
# - formation enthalpy at 0 K (meV per atom) = -256.0


(4)
# Sc2MnBiC, optimized geometry, DFT PBE
data_Sc2MnBiC
_chemical_formula_sum 'Sc2 Mn1 Bi1 C1'
_cell_length_a 5.440
_cell_length_b 5.440
_cell_length_c 4.966
_cell_angle_alpha 90.00
_cell_angle_beta 90.00
_cell_angle_gamma 90.00
_symmetry_space_group_name_H-M 'P 4/m m m'
_symmetry_Int_Tables_number 123
_symmetry_space_group_name_Hall '-P 4 2'
loop_
_atom_site_label
_atom_site_type_symbol
_atom_site_fract_x
_atom_site_fract_y
_atom_site_fract_z
Sc1 Sc 0.000 0.500 0.000
Mn1 Mn 0.000 0.000 0.500
Bi1 Bi 0.000 0.000 0.000
C1 C 0.500 0.500 0.500
# - energy above the lowest structure with this stoichiometry (eV/atom) = 2.232
# - volume (Å³ per cell) = 146.9
# - crystal system = tetragonal
# - formation enthalpy at 0 K (meV per atom) = 1855.7


(5)
# Mn2AlTl, optimized geometry, DFT PBE
data_Mn2AlTl
_chemical_formula_sum 'Mn2 Al1 Tl1'
_cell_length_a 2.894
_cell_length_b 3.778
_cell_length_c 5.842
_cell_angle_alpha 90.00
_cell_angle_beta 90.00
_cell_angle_gamma 90.00
_symmetry_space_group_name_H-M 'P m m m'
_symmetry_Int_Tables_number 47
_symmetry_space_group_name_Hall '-P 2 2'
loop_
_atom_site_label
_atom_site_type_symbol
_atom_site_fract_x
_atom_site_fract_y
_atom_site_fract_z
Mn1 Mn 0.000 0.000 0.219
Al1 Al 0.500 0.500 0.000
Tl1 Tl 0.500 0.500 0.500
# - energy above the lowest structure with this stoichiometry (eV/atom) = 0.022
# - volume (Å³ per cell) = 63.9
# - crystal system = orthorhombic
# - formation enthalpy at 0 K (meV per atom) = 239.3


(6)
# Ag2Pd2Pb, optimized geometry, DFT PBE
data_Ag2Pd2Pb
_chemical_formula_sum 'Ag8 Pd8 Pb4'
_cell_length_a 9.630
_cell_length_b 6.004
_cell_length_c 7.331
_cell_angle_alpha 90.00
_cell_angle_beta 111.56
_cell_angle_gamma 90.00
_symmetry_space_group_name_H-M 'P 1 21/c 1'
_symmetry_Int_Tables_number 14
_symmetry_space_group_name_Hall '-P 2ybc'
loop_
_atom_site_label
_atom_site_type_symbol
_atom_site_fract_x
_atom_site_fract_y
_atom_site_fract_z
Ag1 Ag 0.009 0.132 0.177
Ag2 Ag 0.312 0.239 0.914
Pd1 Pd 0.151 0.506 0.078
Pd2 Pd 0.494 0.001 0.747
Pb1 Pb 0.317 0.742 0.905
# - energy above the lowest structure with this stoichiometry (eV/atom) = 0.010
# - volume (Å³ per cell) = 394.2
# - crystal system = monoclinic
# - formation enthalpy at 0 K (meV per atom) = -26.4


(7)
# CsSbIBr2, optimized geometry, DFT PBE
data_CsSbIBr2
_chemical_formula_sum 'Cs1 Sb1 I1 Br2'
_cell_length_a 5.845
_cell_length_b 5.845
_cell_length_c 6.185
_cell_angle_alpha 90.00
_cell_angle_beta 90.00
_cell_angle_gamma 90.00
_symmetry_space_group_name_H-M 'P 4/m m m'
_symmetry_Int_Tables_number 123
_symmetry_space_group_name_Hall '-P 4 2'
loop_
_atom_site_label
_atom_site_type_symbol
_atom_site_fract_x
_atom_site_fract_y
_atom_site_fract_z
Cs1 Cs 0.000 0.000 0.000
Sb1 Sb 0.500 0.500 0.500
I1 I 0.500 0.500 0.000
Br1 Br 0.000 0.500 0.500
# - volume (Å³ per cell) = 211.3
# - ΔE_f (raw) (meV per atom) = -903
# - crystal system = tetragonal


no.,E (eV/atom)
1,-3.791
2,-4.068
3,-4.986
4,-5.132
5,-5.873
6,-3.986
7,-2.877